Material: Ag2TeMoO6
Method: DFT, PBE with a Hubbard U
State: relaxed

```
Ag2TeMoO6
1.0
-0.3077 2.3211 4.1652
-5.5014 0.8593 -0.8853
-1.1791 -4.8527 2.6171
Ag Te Mo O
2 1 1 6
Cartesian
-2.7630 0.5226 -0.2758
-0.6019 -2.3334 1.4753
-0.1927 1.4541 2.6094
-3.5170 -0.6634 3.2585
-1.9981 0.5136 3.3035
-2.5459 -1.7411 4.5194
-3.4034 -1.5207 1.7201
-0.0718 0.5419 0.9724
-5.1020 -1.3418 4.1081
-4.5542 0.9129 2.8922
```

Output
Size of the total moment in μB per atom: 0.00
Raw total energy in eV per cell: -53.9
Space-group type: P4mm